[1]
Material: TcAsRu4
Method: DFT, PBE-GGA
State: relaxed

Properties
- Energy relative to the elements: 0.72 eV per atom
- Magnetization: 0.0 μB/f.u.

Cell: 7.1911 7.1911 7.1911 Å, 90.00 90.00 90.00°
Space group F-43m (No. 216)
One atom of each set of equivalent atoms:
Tc 0.0000 0.0000 0.0000 (multiplicity 4)
As 0.2500 0.2500 0.7500 (multiplicity 4)
Ru 0.1252 0.1252 0.3748 (multiplicity 16)


[2]
Material: AcErHg
Method: DFT, PBE-GGA
State: relaxed

Properties
- Energy relative to the elements: -0.33 eV per atom
- Offset from the most stable computed form: 0 meV per atom
- Magnetization: 0.0 μB/f.u.

Cell: 5.0104 5.0104 7.8927 Å, 90.00 90.00 90.00°
Space group P4/nmm (No. 129, origin choice 2)
One atom of each set of equivalent atoms:
Ac 0.2500 0.2500 0.1329 (multiplicity 2)
Er 0.2500 0.7500 0.5000 (multiplicity 2)
Hg 0.2500 0.2500 0.7253 (multiplicity 2)


[3]
Material: MnSi2Mo
Method: DFT, PBE-GGA
State: relaxed

Properties
- Formation energy from raw total energies: -315 meV/atom
- Magnetization: 0.0 μB/f.u.

Cell: 3.0749 3.0749 5.4145 Å, 90.00 90.00 90.00°
Space group P4mm (No. 99)
One atom of each set of equivalent atoms:
Mn 0.0000 0.0000 0.0000 (multiplicity 1)
Si 0.0000 0.0000 0.5465 (multiplicity 1)
Si 0.5000 0.5000 0.8023 (multiplicity 1)
Mo 0.5000 0.5000 0.3106 (multiplicity 1)


[4]
Material: SiRh2S
Method: DFT, PBE-GGA
State: relaxed

Properties
- Formation energy from raw total energies: -110 meV/atom
- Offset from the most stable computed form: 148 meV per atom
- Magnetization: 0.0 μB/f.u.

Cell: 6.0309 6.0309 6.0309 Å, 90.00 90.00 90.00°
Space group Fm-3m (No. 225)
One atom of each set of equivalent atoms:
Si 0.0000 0.0000 0.0000 (multiplicity 4)
Rh 0.2500 0.2500 0.2500 (multiplicity 8)
S 0.0000 0.0000 0.5000 (multiplicity 4)


[5]
Material: V7GeH5
Method: DFT, PBE-GGA
State: relaxed

Properties
- Magnetization: 0.0 μB/f.u.
- VASP energy: -170.780 eV per cell

Cell: 4.2424 7.3971 7.9187 Å, 90.00 90.00 90.00°
Space group Imm2 (No. 44)
One atom of each set of equivalent atoms:
V 0.0000 0.0000 0.0000 (multiplicity 2)
V 0.0000 0.0000 0.3097 (multiplicity 2)
V 0.0000 0.3185 0.0423 (multiplicity 4)
V 0.0000 0.3222 0.7014 (multiplicity 4)
V 0.0000 0.5000 0.3371 (multiplicity 2)
Ge 0.0000 0.0000 0.6319 (multiplicity 2)
H 0.0000 0.5000 0.8650 (multiplicity 2)
H 0.2471 0.2063 0.8861 (multiplicity 8)


[6]
Material: Pu2FePd9
Method: DFT, PBE-GGA
State: relaxed

Properties
- Energy relative to the elements: -0.39 eV per atom
- Magnetization: 13.3 μB/f.u.

Cell: 4.0867 4.0867 12.0861 Å, 90.00 90.00 90.00°
Space group P4/mmm (No. 123)
One atom of each set of equivalent atoms:
Pu 0.0000 0.0000 0.1748 (multiplicity 2)
Fe 0.0000 0.0000 0.5000 (multiplicity 1)
Pd 0.0000 0.5000 0.0000 (multiplicity 2)
Pd 0.0000 0.5000 0.3474 (multiplicity 4)
Pd 0.5000 0.5000 0.1733 (multiplicity 2)
Pd 0.5000 0.5000 0.5000 (multiplicity 1)